# Nd3Ga2Rh2

An optimized crystal structure of Nd3Ga2Rh2 (PBE, Alexandria).

The structure belongs to space group Pbcm (No. 57); the cell edges are 5.6876, 8.0990 and 13.8462 Å and the angles 90.00°, 90.00° and 90.00°. The asymmetric unit holds Nd at (0.1314, 0.2393, 0.2500), Nd at (0.3518, 0.5993, 0.0985), Ga at (0.1310, 0.2500, 0.0000), Ga at (0.3651, 0.6103, 0.7500) and Rh at (0.1432, 0.5316, 0.5912).

Its uncorrected energy is -5.758 eV per atom. For the theoretical density, the calculation gives 8.102 g/cm³.

---

# Nd2Ga6Rh

An optimized crystal structure of Nd2Ga6Rh (PBE, Alexandria).

The structure belongs to space group Fm-3m (No. 225); the cell edges are 8.9002, 8.9002 and 8.9002 Å and the angles 90.00°, 90.00° and 90.00°. The asymmetric unit holds Nd at (0.2500, 0.2500, 0.2500), Ga at (0.0000, 0.0000, 0.2169) and Rh at (0.0000, 0.0000, 0.5000).

Its uncorrected energy is -4.579 eV per atom. Its distance to the lowest polymorph of the same formula is 0.000 eV per atom. For the theoretical density, the calculation gives 7.629 g/cm³.

---

# NdGaRh4

An optimized crystal structure of NdGaRh4 (PBE, Alexandria).

The structure belongs to space group F-43m (No. 216); the cell edges are 7.4719, 7.4719 and 7.4719 Å and the angles 90.00°, 90.00° and 90.00°. The asymmetric unit holds Nd at (0.0000, 0.0000, 0.0000), Ga at (0.2500, 0.2500, 0.2500) and Rh at (0.1240, 0.1240, 0.6240).

Its uncorrected energy is -6.593 eV per atom. For the theoretical density, the calculation gives 9.961 g/cm³.